1.
RbRu: optimized geometry, PBE.

a b c (Å): 6.3496 14.8651 9.5691
angles (deg): 90.00 90.00 90.00
Positions (direct):
Rb1 0.0000 0.0000 0.6625
Rb2 0.0000 0.0000 0.3375
Rb3 0.2500 0.7500 0.5875
Rb4 0.2500 0.7500 0.9125
Rb5 0.0000 0.5000 0.1625
Rb6 0.0000 0.5000 0.8375
Rb7 0.2500 0.2500 0.0875
Rb8 0.2500 0.2500 0.4125
Rb9 0.5000 0.0000 0.1625
Rb10 0.5000 0.0000 0.8375
Rb11 0.7500 0.7500 0.0875
Rb12 0.7500 0.7500 0.4125
Rb13 0.5000 0.5000 0.6625
Rb14 0.5000 0.5000 0.3375
Rb15 0.7500 0.2500 0.5875
Rb16 0.7500 0.2500 0.9125
Ru1 0.0000 0.0756 0.0000
Ru2 0.0000 0.9244 0.0000
Ru3 0.2500 0.6744 0.2500
Ru4 0.2500 0.8256 0.2500
Ru5 0.0000 0.5756 0.5000
Ru6 0.0000 0.4244 0.5000
Ru7 0.2500 0.1744 0.7500
Ru8 0.2500 0.3256 0.7500
Ru9 0.5000 0.0756 0.5000
Ru10 0.5000 0.9244 0.5000
Ru11 0.7500 0.6744 0.7500
Ru12 0.7500 0.8256 0.7500
Ru13 0.5000 0.5756 0.0000
Ru14 0.5000 0.4244 0.0000
Ru15 0.7500 0.1744 0.2500
Ru16 0.7500 0.3256 0.2500

Energy above the lowest structure with this stoichiometry = 755 meV per atom

2.
RbRu: optimized geometry, PBE.

a b c (Å): 10.3225 10.3225 10.3225
angles (deg): 90.00 90.00 90.00
Positions (direct):
Rb1 0.2147 0.2147 0.2147
Rb2 0.2147 0.7853 0.7853
Rb3 0.7853 0.2147 0.7853
Rb4 0.7853 0.7853 0.2147
Rb5 0.7147 0.7147 0.7147
Rb6 0.7147 0.2853 0.2853
Rb7 0.2853 0.7147 0.2853
Rb8 0.2853 0.2853 0.7147
Ru1 0.4134 0.4134 0.4134
Ru2 0.4134 0.5866 0.5866
Ru3 0.5866 0.4134 0.5866
Ru4 0.5866 0.5866 0.4134
Ru5 0.9134 0.9134 0.9134
Ru6 0.9134 0.0866 0.0866
Ru7 0.0866 0.9134 0.0866
Ru8 0.0866 0.0866 0.9134

Energy above the lowest structure with this stoichiometry = 780 meV per atom

3.
RbRu: optimized geometry, PBE.

a b c (Å): 6.9910 6.9910 6.9910
angles (deg): 90.00 90.00 90.00
Positions (direct):
Rb1 0.0000 0.0000 0.0000
Rb2 0.0000 0.5000 0.5000
Rb3 0.5000 0.0000 0.5000
Rb4 0.5000 0.5000 0.0000
Ru1 0.5000 0.5000 0.5000
Ru2 0.5000 0.0000 0.0000
Ru3 0.0000 0.5000 0.0000
Ru4 0.0000 0.0000 0.5000

Energy above the lowest structure with this stoichiometry = 1815 meV per atom

4.
RbRu: optimized geometry, PBE.

a b c (Å): 3.4570 6.1166 17.6688
angles (deg): 90.00 90.00 90.00
Positions (direct):
Rb1 0.5000 0.0000 0.1876
Rb2 0.5000 0.0000 0.8124
Rb3 0.0000 0.5000 0.6876
Rb4 0.0000 0.5000 0.3124
Rb5 0.0000 0.0000 0.0000
Rb6 0.5000 0.5000 0.5000
Ru1 0.5000 0.0000 0.4058
Ru2 0.5000 0.0000 0.5942
Ru3 0.0000 0.5000 0.9058
Ru4 0.0000 0.5000 0.0942
Ru5 0.5000 0.5000 0.0000
Ru6 0.0000 0.0000 0.5000

Energy above the lowest structure with this stoichiometry = 404 meV per atom

Quick rundown of VASP energy, same order as above: -3.76, -3.74, -2.70, -4.12 eV per atom